(1)
Entry from the Alexandria database: ScGaCuNi after structural relaxation (PBE).

Cell: 4.3337 4.3337 4.3337 Å, 60.00 60.00 60.00°
Sites, in units of the cell vectors:
Cu 0.2500 0.2500 0.2500
Ga 0.5000 0.5000 0.5000
Sc 0.0000 0.0000 0.0000
Ni 0.7500 0.7500 0.7500

Computed properties:
- SG: F-43m, No. 216
- Magnetization: 0.00 μB/cell

***

(2)
Entry from the Alexandria database: ScGa3CuNi after structural relaxation (PBE).

Cell: 5.5704 5.9042 6.6385 Å, 116.40 90.00 90.00°
Sites, in units of the cell vectors:
Ga 0.2500 0.1567 0.3133
Ga 0.0000 0.7116 0.0000
Ga 0.0000 0.2884 0.0000
Ga 0.5000 0.7116 0.0000
Ga 0.5000 0.2884 0.0000
Ga 0.7500 0.8433 0.6867
Cu 0.7500 0.0855 0.1709
Cu 0.2500 0.9145 0.8291
Sc 0.2500 0.7000 0.4000
Sc 0.7500 0.3000 0.6000
Ni 0.7500 0.6408 0.2815
Ni 0.2500 0.3592 0.7185

Computed properties:
- SG: Cmcm, No. 63
- Magnetization: 0.00 μB/cell

***

(3)
Entry from the Alexandria database: Sc4GaCu2Ni after structural relaxation (PBE).

Cell: 4.6177 4.6177 7.9863 Å, 73.20 73.20 60.00°
Sites, in units of the cell vectors:
Sc 0.8708 0.8708 0.3876
Sc 0.1292 0.1292 0.6124
Sc 0.3802 0.3802 0.8594
Sc 0.6198 0.6198 0.1406
Cu 0.7458 0.7458 0.7625
Cu 0.2542 0.2542 0.2375
Ni 0.5000 0.5000 0.5000
Ga 0.0000 0.0000 0.0000

Computed properties:
- SG: R-3m, No. 166
- Magnetization: 0.00 μB/cell

***

(4)
Entry from the Alexandria database: Sc2Ga2CuNi5 after structural relaxation (PBE).

Cell: 3.3928 9.0984 9.0984 Å, 90.00 90.00 90.00°
Sites, in units of the cell vectors:
Ga 0.0000 0.1256 0.6256
Ga 0.0000 0.3744 0.1256
Ga 0.0000 0.6256 0.8744
Ga 0.0000 0.8744 0.3744
Ni 0.5000 0.9421 0.1971
Ni 0.5000 0.5579 0.6971
Ni 0.5000 0.0579 0.8029
Ni 0.5000 0.8029 0.9421
Ni 0.5000 0.4421 0.3029
Ni 0.5000 0.0000 0.5000
Ni 0.5000 0.1971 0.0579
Ni 0.5000 0.6971 0.4421
Ni 0.5000 0.5000 0.0000
Ni 0.5000 0.3029 0.5579
Cu 0.0000 0.0000 0.0000
Cu 0.0000 0.5000 0.5000
Sc 0.0000 0.3266 0.8266
Sc 0.0000 0.1734 0.3266
Sc 0.0000 0.6734 0.1734
Sc 0.0000 0.8266 0.6734

Computed properties:
- SG: P4/mbm, No. 127
- Magnetization: 0.00 μB/cell

***

no.,energy (eV per atom),energy of formation from the pure elements (eV/f.u.)
1,-5.261,-1.8
2,-4.396,-1.1
3,-5.718,-3.4
4,-5.489,-3.2